Record 1
Density functional theory data (PBE-GGA) for a geometry-optimized TiRh2W structure.

The structure in extended XYZ format:
```
8
Lattice="-1.9780 1.9780 8.5171 1.9780 -1.9780 8.5171 1.9780 1.9780 -8.5171" Properties=species:S:1:pos:R:3 pbc="T T T"
Ti 0.0000 0.0000 0.0000
Ti 0.0000 1.9780 4.2585
Rh 2.9669 0.9792 -2.1293
Rh 0.9792 0.9890 2.1293
Rh -0.9890 0.9988 6.3878
Rh 0.9988 0.9890 10.6463
W 1.9780 0.0000 4.2585
W 0.0000 0.0000 8.5171
```

Computed properties:
Energy of formation   0.228 eV per atom
Distance to the lowest polymorph of the same formula   595.9 meV per atom
V   66.64 Å³/f.u.
Total magnetization   0.000 μB per formula unit
Space-group type   I-42d

=====

Record 2
Density functional theory data (PBE-GGA) for a geometry-optimized BaCa2CuRh structure.

The structure in extended XYZ format:
```
5
Lattice="5.4116 0.0000 0.0000 0.0000 5.4116 0.0000 0.0000 0.0000 5.2257" Properties=species:S:1:pos:R:3 pbc="T T T"
Ba 0.0000 0.0000 0.0000
Ca 0.0000 2.7058 2.6128
Ca 2.7058 0.0000 2.6128
Cu 2.7058 2.7058 0.0000
Rh 2.7058 2.7058 2.6128
```

Computed properties:
Energy of formation   -0.006 eV per atom
V   153.03 Å³/f.u.
Total magnetization   0.000 μB per formula unit
Space-group type   P4/mmm

=====

Record 3
Density functional theory data (PBE-GGA) for a geometry-optimized Mg2Al5Ga12 structure.

The structure in extended XYZ format:
```
19
Lattice="7.7975 -2.9103 0.0000 7.7975 2.9103 0.0000 -1.7554 0.0000 8.5060" Properties=species:S:1:pos:R:3 pbc="T T T"
Mg 7.7975 1.4858 0.0000
Mg 7.7975 -1.4858 0.0000
Al 0.7497 0.0000 7.2081
Al 2.0521 0.0000 2.7795
Al 6.9197 0.0000 4.2530
Al 11.7874 0.0000 5.7265
Al 13.0898 0.0000 1.2979
Ga -0.5028 0.0000 2.9812
Ga 3.1821 1.3039 7.6109
Ga 4.3779 1.4061 3.5087
Ga 6.0522 0.0000 1.6699
Ga 9.4616 1.4061 4.9972
Ga 10.6574 1.3039 0.8951
Ga 3.1821 -1.3039 7.6109
Ga 4.3779 -1.4061 3.5087
Ga 7.7873 0.0000 6.8360
Ga 9.4616 -1.4061 4.9972
Ga 10.6574 -1.3039 0.8951
Ga 14.3423 0.0000 5.5247
```

Computed properties:
Energy of formation   0.085 eV per atom
V   386.05 Å³/f.u.
Total magnetization   0.000 μB per formula unit
Space-group type   C2/m

=====

Record 4
Density functional theory data (PBE-GGA) for a geometry-optimized KRe2Rh structure.

The structure in extended XYZ format:
```
4
Lattice="5.0362 0.0000 0.0000 0.0000 5.0362 0.0000 0.0000 0.0000 2.6954" Properties=species:S:1:pos:R:3 pbc="T T T"
K 0.0000 0.0000 0.0000
Re 0.0000 2.5181 1.3477
Re 2.5181 0.0000 1.3477
Rh 2.5181 2.5181 0.0000
```

Computed properties:
Energy of formation   1.739 eV per atom
Distance to the lowest polymorph of the same formula   1142.4 meV per atom
V   68.36 Å³/f.u.
Total magnetization   0.000 μB per formula unit
Space-group type   P4/mmm

=====

Question: Look up the total magnetization of the third one.
Answer: 0.000 μB per formula unit

=====

Question: energy of formation of number 2 (BaCa2CuRh)?
Answer: -0.006 eV per atom

=====

Question: energy of formation of number 1 (TiRh2W)?
Answer: 0.228 eV per atom